{"formula": "V4Pt5Rh4", "functional": "GGA-PBE", "state": "optimized geometry", "spacegroup": "No. 87", "vol_a3_per_fu": 188.56, "final_energy_ev_per_cell": -101.67, "lattice_angstrom": [[-4.930, 4.930, 1.940], [4.930, -4.930, 1.940], [4.930, 4.930, -1.940]], "species": ["V", "V", "V", "V", "Pt", "Pt", "Pt", "Pt", "Pt", "Rh", "Rh", "Rh", "Rh"], "fractional_positions": [[0.143, 0.241, 0.384], [0.241, 0.857, 0.099], [0.759, 0.143, 0.901], [0.857, 0.759, 0.616], [0.000, 0.000, 0.000], [0.306, 0.451, 0.757], [0.451, 0.694, 0.145], [0.549, 0.306, 0.855], [0.694, 0.549, 0.243], [0.091, 0.623, 0.713], [0.377, 0.091, 0.468], [0.623, 0.909, 0.532], [0.909, 0.377, 0.287]]}

***

{"formula": "VPt6Rh8", "functional": "GGA-PBE", "state": "optimized geometry", "spacegroup": "No. 147", "vol_a3_per_fu": 242.79, "final_energy_ev_per_cell": -101.15, "lattice_angstrom": [[7.308, 0.000, 0.000], [-3.654, 6.329, 0.000], [0.000, 0.000, 5.249]], "species": ["V", "Pt", "Pt", "Pt", "Pt", "Pt", "Pt", "Rh", "Rh", "Rh", "Rh", "Rh", "Rh", "Rh", "Rh"], "fractional_positions": [[0.000, 0.000, 0.000], [0.055, 0.369, 0.097], [0.313, 0.945, 0.097], [0.369, 0.313, 0.903], [0.631, 0.687, 0.097], [0.687, 0.055, 0.903], [0.945, 0.631, 0.903], [0.040, 0.684, 0.414], [0.316, 0.356, 0.414], [0.333, 0.667, 0.727], [0.356, 0.040, 0.586], [0.644, 0.960, 0.414], [0.667, 0.333, 0.273], [0.684, 0.644, 0.586], [0.960, 0.316, 0.586]]}

***

{"formula": "V4PtRh3", "functional": "GGA-PBE", "state": "optimized geometry", "spacegroup": "No. 51", "vol_a3_per_fu": 111.04, "final_energy_ev_per_cell": -135.84, "lattice_angstrom": [[8.730, 0.000, 0.000], [0.000, 5.459, 0.000], [0.000, 0.000, 4.660]], "species": ["V", "V", "V", "V", "V", "V", "V", "V", "Pt", "Pt", "Rh", "Rh", "Rh", "Rh", "Rh", "Rh"], "fractional_positions": [[0.000, 0.248, 0.000], [0.000, 0.752, 0.000], [0.250, 0.246, 0.349], [0.250, 0.754, 0.349], [0.500, 0.248, 0.000], [0.500, 0.752, 0.000], [0.750, 0.246, 0.651], [0.750, 0.754, 0.651], [0.000, 0.500, 0.500], [0.500, 0.500, 0.500], [0.000, 0.000, 0.500], [0.250, 0.000, 0.863], [0.250, 0.500, 0.862], [0.500, 0.000, 0.500], [0.750, 0.000, 0.137], [0.750, 0.500, 0.138]]}

***

{"formula": "V2PtRh8", "functional": "GGA-PBE", "state": "optimized geometry", "spacegroup": "No. 71", "vol_a3_per_fu": 160.09, "final_energy_ev_per_cell": -84.64, "lattice_angstrom": [[-1.996, 3.313, 6.053], [1.996, -3.313, 6.053], [1.996, 3.313, -6.053]], "species": ["V", "V", "Pt", "Rh", "Rh", "Rh", "Rh", "Rh", "Rh", "Rh", "Rh"], "fractional_positions": [[0.201, 0.201, 0.000], [0.799, 0.799, 0.000], [0.500, 0.500, 0.000], [0.058, 0.348, 0.710], [0.197, 0.000, 0.197], [0.341, 0.841, 0.500], [0.362, 0.652, 0.710], [0.638, 0.348, 0.290], [0.659, 0.159, 0.500], [0.803, 0.000, 0.803], [0.942, 0.652, 0.290]]}

***

{"formula": "VPtRh", "functional": "GGA-PBE", "state": "optimized geometry", "spacegroup": "No. 5", "vol_a3_per_fu": 42.95, "final_energy_ev_per_cell": -47.56, "lattice_angstrom": [[4.105, -2.381, 0.000], [4.105, 2.381, 0.000], [-2.922, 0.000, 4.395]], "species": ["V", "V", "Pt", "Pt", "Rh", "Rh"], "fractional_positions": [[0.000, 0.000, 0.000], [0.830, 0.170, 0.500], [0.334, 0.330, 0.998], [0.670, 0.666, 0.002], [0.156, 0.505, 0.497], [0.495, 0.844, 0.503]]}

***

{"formula": "V2PtRh", "functional": "GGA-PBE", "state": "optimized geometry", "spacegroup": "No. 123", "vol_a3_per_fu": 56.01, "final_energy_ev_per_cell": -33.62, "lattice_angstrom": [[3.841, 0.000, 0.000], [0.000, 3.841, 0.000], [0.000, 0.000, 3.796]], "species": ["V", "V", "Pt", "Rh"], "fractional_positions": [[0.000, 0.500, 0.000], [0.500, 0.000, 0.000], [0.000, 0.000, 0.500], [0.500, 0.500, 0.500]]}

***

{"formula": "V4Pt5Rh", "functional": "GGA-PBE", "state": "optimized geometry", "spacegroup": "No. 71", "vol_a3_per_fu": 156.65, "final_energy_ev_per_cell": -75.66, "lattice_angstrom": [[-2.042, 4.038, 4.750], [2.042, -4.038, 4.750], [2.042, 4.038, -4.750]], "species": ["V", "V", "V", "V", "Pt", "Pt", "Pt", "Pt", "Pt", "Rh"], "fractional_positions": [[0.191, 0.500, 0.691], [0.248, 0.248, 0.000], [0.752, 0.752, 0.000], [0.809, 0.500, 0.309], [0.000, 0.000, 0.000], [0.147, 0.827, 0.320], [0.494, 0.173, 0.320], [0.506, 0.827, 0.680], [0.853, 0.173, 0.680], [0.500, 0.500, 0.000]]}

***

{"formula": "VPtRh", "functional": "GGA-PBE", "state": "optimized geometry", "spacegroup": "No. 11", "vol_a3_per_fu": 42.72, "final_energy_ev_per_cell": -47.99, "lattice_angstrom": [[2.749, 0.000, 0.000], [0.000, 4.404, 0.000], [-1.363, 0.000, 7.057]], "species": ["V", "V", "Pt", "Pt", "Rh", "Rh"], "fractional_positions": [[0.114, 0.250, 0.228], [0.886, 0.750, 0.772], [0.443, 0.250, 0.886], [0.557, 0.750, 0.114], [0.230, 0.750, 0.460], [0.770, 0.250, 0.540]]}

***

{"formula": "VPtRh", "functional": "GGA-PBE", "state": "optimized geometry", "spacegroup": "No. 187", "vol_a3_per_fu": 43.37, "final_energy_ev_per_cell": -23.60, "lattice_angstrom": [[4.273, 0.000, 0.000], [-2.137, 3.701, 0.000], [0.000, 0.000, 2.742]], "species": ["V", "Pt", "Rh"], "fractional_positions": [[0.000, 0.000, 0.000], [0.667, 0.333, 0.500], [0.333, 0.667, 0.000]]}

***

{"formula": "VPt4Rh2", "functional": "GGA-PBE", "state": "optimized geometry", "spacegroup": "No. 12", "vol_a3_per_fu": 103.81, "final_energy_ev_per_cell": -50.02, "lattice_angstrom": [[4.349, -1.943, 0.000], [4.349, 1.943, 0.000], [-0.936, 0.000, 6.143]], "species": ["V", "Pt", "Pt", "Pt", "Pt", "Rh", "Rh"], "fractional_positions": [[0.000, 0.000, 0.000], [0.146, 0.146, 0.418], [0.433, 0.433, 0.278], [0.567, 0.567, 0.722], [0.854, 0.854, 0.582], [0.288, 0.288, 0.869], [0.712, 0.712, 0.131]]}

***

{"formula": "V5Pt3Rh3", "functional": "GGA-PBE", "state": "optimized geometry", "spacegroup": "No. 189", "vol_a3_per_fu": 174.74, "final_energy_ev_per_cell": -83.92, "lattice_angstrom": [[8.689, 0.000, 0.000], [-4.344, 7.525, 0.000], [0.000, 0.000, 2.673]], "species": ["V", "V", "V", "V", "V", "Pt", "Pt", "Pt", "Rh", "Rh", "Rh"], "fractional_positions": [[0.000, 0.690, 0.000], [0.310, 0.310, 0.000], [0.333, 0.667, 0.000], [0.667, 0.333, 0.000], [0.690, 0.000, 0.000], [0.000, 0.444, 0.500], [0.444, 0.000, 0.500], [0.556, 0.556, 0.500], [0.000, 0.176, 0.000], [0.176, 0.000, 0.000], [0.824, 0.824, 0.000]]}